# PBE-GGA Ca2Cu2O, optimized geometry
data_Ca2Cu2O
_cell_length_a 3.2731
_cell_length_b 3.2731
_cell_length_c 15.7268
_cell_angle_alpha 90.00
_cell_angle_beta 90.00
_cell_angle_gamma 90.00
_space_group_name_H-M_alt 'P 1'
_space_group_IT_number 1
_space_group_name_Hall 'P 1'
loop_
_atom_site_label
_atom_site_type_symbol
_atom_site_fract_x
_atom_site_fract_y
_atom_site_fract_z
Ca1 Ca 0.0000 0.0000 0.0917
Ca2 Ca 0.0000 0.0000 0.9083
Ca3 Ca 0.5000 0.5000 0.4083
Ca4 Ca 0.5000 0.5000 0.5917
Cu1 Cu 0.0000 0.5000 0.2500
Cu2 Cu 0.0000 0.5000 0.7500
Cu3 Cu 0.5000 0.0000 0.2500
Cu4 Cu 0.5000 0.0000 0.7500
O1 O 0.0000 0.0000 0.5000
O2 O 0.5000 0.5000 0.0000
# energy relative to the lowest polymorph listed for this composition = 0.0 meV/atom
# calculated volume = 168 Å³ per cell



# PBE-GGA ThSn12Pt4, optimized geometry
data_ThSn12Pt4
_cell_length_a 8.2193
_cell_length_b 8.2193
_cell_length_c 8.2193
_cell_angle_alpha 109.47
_cell_angle_beta 109.47
_cell_angle_gamma 109.47
_space_group_name_H-M_alt 'P 1'
_space_group_IT_number 1
_space_group_name_Hall 'P 1'
loop_
_atom_site_label
_atom_site_type_symbol
_atom_site_fract_x
_atom_site_fract_y
_atom_site_fract_z
Th1 Th 0.0000 0.0000 0.0000
Sn1 Sn 0.1575 0.3429 0.5004
Sn2 Sn 0.1575 0.6571 0.8146
Sn3 Sn 0.1854 0.8425 0.3429
Sn4 Sn 0.3429 0.1854 0.8425
Sn5 Sn 0.3429 0.5004 0.1575
Sn6 Sn 0.5004 0.1575 0.3429
Sn7 Sn 0.4996 0.8425 0.6571
Sn8 Sn 0.6571 0.4996 0.8425
Sn9 Sn 0.6571 0.8146 0.1575
Sn10 Sn 0.8146 0.1575 0.6571
Sn11 Sn 0.8425 0.3429 0.1854
Sn12 Sn 0.8425 0.6571 0.4996
Pt1 Pt 0.0000 0.0000 0.5000
Pt2 Pt 0.0000 0.5000 0.0000
Pt3 Pt 0.5000 0.0000 0.0000
Pt4 Pt 0.5000 0.5000 0.5000
# energy relative to the elements = -0.39 eV per atom
# calculated volume = 427 Å³ per cell